# PrZrNO PBE-GGA relaxed
# - offset from the most stable computed form (meV/atom) = 0
data_PrZrNO
_chemical_formula_sum 'Pr2 Zr2 N2 O2'
_space_group_name_H-M_alt 'P 1'
_space_group_IT_number 1
_space_group_name_Hall 'P 1'
_cell_length_a 4.8380
_cell_length_b 3.9676
_cell_length_c 6.9036
_cell_angle_alpha 90.00
_cell_angle_beta 90.00
_cell_angle_gamma 90.00
loop_
_atom_site_label
_atom_site_fract_x
_atom_site_fract_y
_atom_site_fract_z
_atom_site_occupancy
Pr1 0.2500 0.0000 0.1572 1
Pr2 0.7500 0.0000 0.8428 1
Zr1 0.2500 0.5000 0.6615 1
Zr2 0.7500 0.5000 0.3385 1
N1 0.2500 0.5000 0.3610 1
N2 0.7500 0.5000 0.6390 1
O1 0.2500 0.0000 0.7849 1
O2 0.7500 0.0000 0.2151 1

# RbPtNO PBE-GGA relaxed
# - offset from the most stable computed form (meV/atom) = 820
data_RbPtNO
_chemical_formula_sum 'Rb2 Pt2 N2 O2'
_space_group_name_H-M_alt 'P 1'
_space_group_IT_number 1
_space_group_name_Hall 'P 1'
_cell_length_a 4.6032
_cell_length_b 4.6032
_cell_length_c 7.1585
_cell_angle_alpha 90.00
_cell_angle_beta 90.00
_cell_angle_gamma 90.00
loop_
_atom_site_label
_atom_site_fract_x
_atom_site_fract_y
_atom_site_fract_z
_atom_site_occupancy
Rb1 0.2500 0.7500 0.0000 1
Rb2 0.7500 0.2500 0.0000 1
Pt1 0.2500 0.2500 0.4573 1
Pt2 0.7500 0.7500 0.5427 1
N1 0.2500 0.2500 0.2019 1
N2 0.7500 0.7500 0.7981 1
O1 0.2500 0.7500 0.5000 1
O2 0.7500 0.2500 0.5000 1

# RbPtNO PBE-GGA relaxed
# - offset from the most stable computed form (meV/atom) = 45
data_RbPtNO
_chemical_formula_sum 'Rb4 Pt4 N4 O4'
_space_group_name_H-M_alt 'P 1'
_space_group_IT_number 1
_space_group_name_Hall 'P 1'
_cell_length_a 6.5030
_cell_length_b 8.2923
_cell_length_c 5.3150
_cell_angle_alpha 90.00
_cell_angle_beta 90.00
_cell_angle_gamma 90.00
loop_
_atom_site_label
_atom_site_fract_x
_atom_site_fract_y
_atom_site_fract_z
_atom_site_occupancy
Rb1 0.0821 0.1559 0.0000 1
Rb2 0.4179 0.1559 0.5000 1
Rb3 0.5821 0.8441 0.0000 1
Rb4 0.9179 0.8441 0.5000 1
Pt1 0.1553 0.6079 0.0054 1
Pt2 0.3447 0.6079 0.5054 1
Pt3 0.6553 0.3921 0.0054 1
Pt4 0.8447 0.3921 0.5054 1
N1 0.1381 0.4910 0.6957 1
N2 0.3619 0.4910 0.1957 1
N3 0.6381 0.5090 0.6957 1
N4 0.8619 0.5090 0.1957 1
O1 0.0350 0.8209 0.9954 1
O2 0.4650 0.8209 0.4954 1
O3 0.5350 0.1791 0.9954 1
O4 0.9650 0.1791 0.4954 1

Result set for volume: 132.52; 151.69; 286.61 Å³/cell, one per record in the order listed.